Entry 1:
The following is a PBE calculation of a relaxed structure of BaLu2N, from Alexandria via LeMat-Bulk. Values from VASP.

Geometry as Quantum ESPRESSO input:
```
&SYSTEM
  ibrav = 0, nat = 4, ntyp = 3
/
ATOMIC_SPECIES
Lu 174.97 Lu.upf
Ba 137.33 Ba.upf
N 14.01 N.upf
ATOMIC_POSITIONS crystal
Lu 0.123 0.123 0.632
Lu 0.877 0.877 0.368
Ba 0.000 0.000 0.000
N 0.500 0.500 0.500
CELL_PARAMETERS angstrom
3.442 0.000 0.000
1.721 2.981 0.000
1.721 0.994 9.825
```

Output
Energy relative to the elements, uncorrected   -0.6216 eV per atom
Crystal system   trigonal

---

Entry 2:
The following is a PBE calculation of a relaxed structure of BaNa2Lu, from Alexandria via LeMat-Bulk. Values from VASP.

Geometry as Quantum ESPRESSO input:
```
&SYSTEM
  ibrav = 0, nat = 4, ntyp = 3
/
ATOMIC_SPECIES
Na 22.99 Na.upf
Ba 137.33 Ba.upf
Lu 174.97 Lu.upf
ATOMIC_POSITIONS crystal
Na 0.083 0.083 0.751
Na 0.917 0.917 0.249
Ba 0.500 0.500 0.500
Lu 0.000 0.000 0.000
CELL_PARAMETERS angstrom
-2.606 1.264 -2.215
-3.261 -1.629 -0.095
-6.403 8.199 9.209
```

Output
Formation energy   0.394 eV/atom
Crystal system   trigonal

---

Entry 3:
The following is a PBE calculation of a relaxed structure of BaNd2Lu, from Alexandria via LeMat-Bulk. Values from VASP.

Geometry as Quantum ESPRESSO input:
```
&SYSTEM
  ibrav = 0, nat = 4, ntyp = 3
/
ATOMIC_SPECIES
Ba 137.33 Ba.upf
Lu 174.97 Lu.upf
Nd 144.24 Nd.upf
ATOMIC_POSITIONS crystal
Ba 0.000 0.000 0.000
Lu 0.500 0.500 0.500
Nd 0.094 0.094 0.717
Nd 0.906 0.906 0.283
CELL_PARAMETERS angstrom
3.662 0.000 0.000
1.831 3.171 0.000
1.831 1.057 13.040
```

Output
Formation energy   0.207 eV/atom
Relative energy among the computed polymorphs   85 meV/atom
Crystal system   trigonal

---

| no. | final energy (eV/atom) |
| --- | --- |
| 1 | -5.444 |
| 2 | -1.876 |
| 3 | -3.788 |